AlGa2Se | PBE-GGA | optimized geometry

Results
The uncorrected formation energy is 0.5 eV/f.u. As for the offset from the most stable computed form: 177.0 meV/atom.

a b c (Å): 3.5084 3.5084 9.1260
angles (deg): 78.92 78.92 60.00
Atoms (fractional coordinates):
Ga  0.1008  0.1008  0.6975
Ga  0.8992  0.8992  0.3025
Se  0.5000  0.5000  0.5000
Al  0.0000  0.0000  0.0000